P | {"formula": "FeRu2Rh", "functional": "GGA-PBEsol", "state": "relaxed", "space_group": "P4mm (99)", "volume_a3_per_fu": 51, "n_ef_per_ev_cell": 5.1, "lattice_angstrom": [[-0.555, -2.514, -0.567], [1.282, 0.234, -2.292], [6.218, -2.108, 3.262]], "species": ["Rh", "Fe", "Ru", "Ru"], "fractional_positions": [[0.500, 0.500, 0.742], [0.000, 0.000, 0.498], [0.000, 0.000, 0.002], [0.500, 0.500, 0.258]]}

---

Q | {"formula": "FeRu2Rh", "functional": "GGA-PBEsol", "state": "relaxed", "space_group": "Fm-3m (225)", "volume_a3_per_fu": 53, "n_ef_per_ev_cell": 6.8, "lattice_angstrom": [[4.206, 0.000, 0.000], [2.103, 3.642, 0.000], [2.103, 1.214, 3.434]], "species": ["Rh", "Ru", "Ru", "Fe"], "fractional_positions": [[0.500, 0.500, 0.500], [0.250, 0.250, 0.250], [0.750, 0.750, 0.750], [0.000, 0.000, 0.000]]}

---

Looking at the structures above, P is most stable, and the difference to the next one is 0.333 eV/atom.